*1*
Entry from Alexandria via LeMat-Bulk: a relaxed structure of Pu2GaRu3 (PBE).

Cell and atoms, written as POSCAR:
```
Pu2GaRu3
1.0
5.5484 0.0000 0.0000
-2.7742 4.8050 0.0000
0.0000 0.0000 7.9683
Pu Ga Ru
4 2 6
Cartesian
0.0000 3.2034 0.5501
0.0000 3.2034 3.4341
2.7742 1.6017 4.5342
2.7742 1.6017 7.4182
0.0000 0.0000 0.0000
0.0000 0.0000 3.9841
0.0000 1.6476 5.9762
-1.3473 3.9812 5.9762
1.4268 0.8238 1.9921
1.3473 3.9812 5.9762
4.1215 0.8238 1.9921
2.7742 3.1575 1.9921
```

- volume (Å³/atom) = 17.7
- SG = No. 194


*2*
Entry from Alexandria via LeMat-Bulk: a relaxed structure of Pu2GaRu3 (PBE).

Cell and atoms, written as POSCAR:
```
Pu2GaRu3
1.0
4.4367 0.0000 0.0000
0.0000 5.2703 0.0000
0.0000 0.0000 9.5056
Pu Ga Ru
4 2 6
Cartesian
0.0000 0.0000 1.7263
0.0000 0.0000 7.7793
2.2183 2.6351 3.0265
2.2183 2.6351 6.4791
0.0000 0.0000 4.7528
2.2183 2.6351 0.0000
0.0000 2.6351 1.3647
0.0000 2.6351 4.7528
0.0000 2.6351 8.1409
2.2183 0.0000 0.0000
2.2183 0.0000 3.3881
2.2183 0.0000 6.1174
```

- volume (Å³/atom) = 18.5
- SG = No. 71


How do the energies compare? Relative to the most stable structure, in eV/atom: *1* 0.000; *2* 0.276.